<a>
A relaxed structure of Pm4BI5. Source: the Alexandria database, functional PBE.

Unit cell a=4.167 b=8.881 c=9.907 alpha=102.43 beta=102.14 gamma=90.00
Element x y z (fractional)
Pm (0.638, 0.070, 0.277)
Pm (0.999, 0.200, 0.998)
Pm (0.362, 0.930, 0.723)
Pm (0.001, 0.800, 0.002)
B (0.500, 0.000, 0.000)
I (0.166, 0.343, 0.331)
I (0.172, 0.824, 0.343)
I (0.828, 0.176, 0.657)
I (0.500, 0.500, 0.000)
I (0.834, 0.657, 0.669)

Output
crystal system	monoclinic
symmetry	C2/m, No. 12
D(E_F)	0.541	states/eV/atom

***

<b>
A relaxed structure of Pm4BI5. Source: the Alexandria database, functional PBE.

Unit cell a=4.172 b=8.818 c=10.901 alpha=89.75 beta=101.03 gamma=90.00
Element x y z (fractional)
Pm (0.380, 0.001, 0.759)
Pm (0.000, 0.798, 0.000)
Pm (0.620, 0.999, 0.241)
Pm (0.000, 0.202, 0.000)
B (0.500, 0.000, 0.000)
I (0.849, 0.744, 0.698)
I (0.849, 0.259, 0.698)
I (0.151, 0.741, 0.302)
I (0.500, 0.500, 0.000)
I (0.151, 0.256, 0.302)

Output
crystal system	monoclinic
symmetry	C2/m, No. 12
D(E_F)	0.551	states/eV/atom

***

Q: Which of them is the least stable? A: <b>.